VASP calculation (GGA-PBE) on crystalline NdDy7Sc2 at its relaxed geometry.

Cell and atoms, written as POSCAR:
```
NdDy7Sc2
1.0
-3.1963 4.5483 0.5228
-1.9010 -2.2807 8.2192
6.9478 5.0630 -1.5699
Dy Sc Nd
7 2 1
Cartesian
-1.7610 1.8840 2.6593 Dy
0.9253 3.6653 3.5860 Dy
0.2474 -0.4977 5.8424 Dy
4.7994 3.2800 0.8068 Dy
3.6116 5.4465 4.5128 Dy
0.3947 3.6731 0.2745 Dy
1.4558 3.6575 6.8976 Dy
2.7277 5.1612 1.5920 Sc
-0.8772 2.1694 5.5801 Sc
0.0000 0.0000 0.0000 Nd
```

## Properties
crystal system = orthorhombic
E_tot = -4.3113 eV/atom

***

VASP calculation (GGA-PBE) on crystalline Nd6Dy2Sc at its relaxed geometry.

Cell and atoms, written as POSCAR:
```
Nd6Dy2Sc
1.0
-3.1787 -1.7541 -3.5890
0.2895 -3.5484 5.1087
-6.9393 8.0173 2.2275
Dy Nd Sc
2 6 1
Cartesian
-2.8424 -0.7237 2.8713 Dy
-6.9861 3.4385 0.8760 Dy
-2.4017 -1.9150 -0.5677 Nd
-1.2152 1.3626 0.4103 Nd
-5.0745 1.9350 3.5487 Nd
-7.4269 4.6298 4.3150 Nd
-4.7540 0.7798 0.1986 Nd
-8.6133 1.3522 3.3370 Nd
-3.4697 4.0087 1.1138 Sc
```

## Properties
crystal system = monoclinic
E_tot = -4.8724 eV/atom

***

VASP calculation (GGA-PBE) on crystalline NdDy12Sc6 at its relaxed geometry.

Cell and atoms, written as POSCAR:
```
NdDy12Sc6
1.0
-2.2048 -3.7370 7.9086
6.3330 -5.2100 -3.7578
3.7991 7.9876 1.7718
Dy Sc Nd
12 6 1
Cartesian
4.4244 -1.4408 5.4662 Dy
2.9818 4.6346 5.1041 Dy
6.2903 4.0637 0.5832 Dy
6.3549 -1.7738 2.8282 Dy
5.7820 1.2103 4.0786 Dy
3.5030 0.4814 0.4564 Dy
2.1455 -2.1697 1.8440 Dy
1.6371 -5.0231 5.3394 Dy
1.5725 0.8144 3.0944 Dy
0.6552 0.0911 7.4822 Dy
4.9456 -5.5940 0.8185 Dy
7.2722 -1.0505 -1.5596 Dy
5.0796 -2.4690 0.2525 Sc
6.4106 0.8949 0.8018 Sc
4.0222 3.0383 2.5599 Sc
1.5168 -1.8543 5.1208 Sc
3.9052 -3.9977 3.3627 Sc
2.8478 1.5096 5.6701 Sc
0.0000 0.0000 0.0000 Nd
```

## Properties
crystal system = trigonal
E_tot = -4.7327 eV/atom

***

VASP calculation (GGA-PBE) on crystalline Nd2Dy12Sc5 at its relaxed geometry.

Cell and atoms, written as POSCAR:
```
Nd2Dy12Sc5
1.0
-1.1431 -4.1360 -5.3585
1.3125 -6.4234 9.0753
-7.6937 -1.7071 2.9590
Sc Dy Nd
5 12 2
Cartesian
-7.2886 -6.1987 1.9420 Sc
-4.0259 -7.1423 1.9743 Sc
-0.2358 -6.0678 4.7338 Sc
-3.8469 -0.8535 1.4795 Sc
-3.4985 -5.1242 4.7015 Sc
-2.8793 -3.4232 -1.1409 Dy
-6.8368 -4.1181 4.6371 Dy
-2.7029 -8.3182 4.8457 Dy
-4.8214 -3.9483 1.8301 Dy
-1.5749 -4.8240 1.8281 Dy
-4.6451 -8.8433 7.8167 Dy
-5.3864 -5.4052 7.4872 Dy
-2.1380 -6.8613 -0.8114 Dy
-2.1436 -6.2947 7.4673 Dy
-0.6876 -8.1484 2.0387 Dy
-5.9495 -7.4425 4.8477 Dy
-5.3807 -5.9718 -0.7916 Dy
-0.2879 -1.0415 -1.3493 Nd
-0.8553 -3.0945 -4.0092 Nd
```

## Properties
crystal system = monoclinic
E_tot = -4.9159 eV/atom

***

VASP calculation (GGA-PBE) on crystalline Nd6Dy5Sc at its relaxed geometry.

Cell and atoms, written as POSCAR:
```
Nd6Dy5Sc
1.0
4.9039 0.0170 -1.4287
-1.3710 8.8211 -4.5953
0.1007 -0.7689 9.4616
Nd Sc Dy
6 1 5
Cartesian
2.1151 2.1765 -1.8438 Nd
-0.4134 7.8447 -1.3224 Nd
1.5184 5.8928 5.2813 Nd
4.0469 0.2246 4.7599 Nd
3.3551 4.6763 2.4407 Nd
0.2785 3.3929 0.9968 Nd
0.0000 0.0000 0.0000 Sc
-0.6855 4.4106 -2.2977 Dy
3.0697 1.2163 1.4197 Dy
0.5638 6.8529 2.0178 Dy
2.3864 5.6311 -0.8705 Dy
1.2472 2.4382 4.3080 Dy
```

## Properties
crystal system = orthorhombic
E_tot = -4.8037 eV/atom

***

VASP calculation (GGA-PBE) on crystalline Nd2Dy2Sc3 at its relaxed geometry.

Cell and atoms, written as POSCAR:
```
Nd2Dy2Sc3
1.0
3.4321 -0.5785 0.0764
-0.7524 5.8919 -0.7011
0.1513 2.1956 10.0830
Sc Dy Nd
3 2 2
Cartesian
0.3459 2.5762 4.1768 Sc
2.4851 4.9329 5.2815 Sc
0.0000 0.0000 0.0000 Sc
0.8714 5.4639 2.3730 Dy
1.9596 2.0452 7.0853 Dy
2.1440 2.3871 1.2598 Nd
0.6870 5.1219 8.1985 Nd
```

## Properties
crystal system = monoclinic
E_tot = -5.3359 eV/atom

***

VASP calculation (GGA-PBE) on crystalline NdDy2Sc7 at its relaxed geometry.

Cell and atoms, written as POSCAR:
```
NdDy2Sc7
1.0
3.3310 0.0000 0.0000
0.0000 13.2116 -4.5709
0.0000 -10.0397 9.7285
Sc Nd Dy
7 1 2
Cartesian
1.6655 4.7125 2.4469 Sc
0.0000 -5.7936 7.1172 Sc
0.0000 8.9655 -1.9596 Sc
1.6655 1.5859 2.5788 Sc
1.6655 3.1142 -0.1520 Sc
1.6655 0.0576 5.3096 Sc
1.6655 -1.5406 2.7107 Sc
0.0000 0.0000 0.0000 Nd
1.6655 6.4913 -0.4380 Dy
1.6655 -3.3195 5.5956 Dy
```

## Properties
crystal system = orthorhombic
E_tot = -5.6663 eV/atom

***

VASP calculation (GGA-PBE) on crystalline Nd8Dy2Sc3 at its relaxed geometry.

Cell and atoms, written as POSCAR:
```
Nd8Dy2Sc3
1.0
5.8477 0.3027 1.2946
1.8516 8.4409 1.6850
0.7455 -0.4969 8.7592
Dy Sc Nd
2 3 8
Cartesian
5.7279 5.6277 8.0055 Dy
2.7169 2.6190 3.7332 Dy
1.0430 1.9064 6.8571 Sc
2.9239 0.1514 0.6473 Sc
7.4018 6.3403 4.8817 Sc
5.5145 1.3505 2.5667 Nd
5.5019 3.5201 5.3067 Nd
4.0634 7.6819 5.4130 Nd
3.4754 2.9304 9.1738 Nd
4.9694 5.3163 2.5649 Nd
2.9429 4.7266 6.4321 Nd
2.9303 6.8962 9.1721 Nd
4.3814 0.5648 6.3258 Nd
```

## Properties
crystal system = monoclinic
E_tot = -4.9241 eV/atom

***

VASP calculation (GGA-PBE) on crystalline NdDy5Sc5 at its relaxed geometry.

Cell and atoms, written as POSCAR:
```
NdDy5Sc5
1.0
-4.0253 4.1723 -0.1908
-0.3935 -4.5741 -3.5454
-6.1040 -5.5315 7.8139
Sc Dy Nd
5 5 1
Cartesian
-4.4583 -4.0402 5.7072 Sc
-1.6457 -1.4913 2.1066 Sc
-6.6801 -2.3500 1.3671 Sc
-6.4805 -0.0306 3.1649 Sc
-4.4394 -2.1462 3.2617 Sc
0.0000 0.0000 0.0000 Dy
-7.9304 -3.3791 5.2398 Dy
-5.7342 -5.4013 2.8598 Dy
-3.8029 0.3613 -0.0440 Dy
-3.5780 -3.4474 0.0996 Dy
-1.6041 -1.6586 -2.4272 Nd
```

## Properties
crystal system = hexagonal
E_tot = -5.1654 eV/atom

***

VASP calculation (GGA-PBE) on crystalline Nd2Dy4Sc at its relaxed geometry.

Cell and atoms, written as POSCAR:
```
Nd2Dy4Sc
1.0
-3.8295 -3.5271 -4.5411
3.8575 -3.1894 4.7617
-8.6152 6.9028 6.8683
Dy Nd Sc
8 4 2
Cartesian
-2.3734 0.3770 5.8655 Dy
-4.4523 -1.5671 4.1851 Dy
-1.9105 -3.2433 -2.2216 Dy
-8.0016 5.2242 6.8714 Dy
-6.2137 -0.1907 1.2234 Dy
-0.5855 -5.0379 0.2175 Dy
-6.6766 3.4296 9.3105 Dy
-4.1348 1.7534 2.9038 Dy
-5.8748 1.8440 5.9544 Nd
-0.4974 -1.5604 3.8149 Nd
-8.0897 1.7467 3.2740 Nd
-2.7123 -1.6577 1.1344 Nd
-3.7479 1.9374 8.5283 Sc
-4.8392 -1.7511 -1.4394 Sc
```

## Properties
crystal system = monoclinic
E_tot = -4.7056 eV/atom

***

VASP calculation (GGA-PBE) on crystalline NdDySc6 at its relaxed geometry.

Cell and atoms, written as POSCAR:
```
NdDySc6
1.0
-1.0718 -5.2126 0.4661
5.4046 -1.4564 -3.8602
0.6689 0.4660 6.7504
Nd Dy Sc
1 1 6
Cartesian
2.1034 -2.9402 2.5685 Nd
1.0658 0.3049 5.8610 Dy
4.7776 -3.6666 0.5942 Sc
1.8198 -3.1842 -0.8133 Sc
3.8010 -0.4257 3.9804 Sc
4.4585 -3.8962 -2.7082 Sc
3.4490 -0.6626 0.5214 Sc
0.6735 0.0843 2.4921 Sc
```

## Properties
crystal system = orthorhombic
E_tot = -5.9148 eV/atom

***

VASP calculation (GGA-PBE) on crystalline Nd2Dy4Sc3 at its relaxed geometry.

Cell and atoms, written as POSCAR:
```
Nd2Dy4Sc3
1.0
-4.1631 -3.3092 2.8827
4.7785 -0.0720 8.4088
-3.2693 7.3750 5.3358
Dy Nd Sc
8 4 6
Cartesian
-6.2063 3.4381 9.3017 Dy
-0.6784 5.7451 9.8779 Dy
-4.3587 4.2954 6.5410 Dy
1.7049 -0.3017 10.0863 Dy
-2.1142 1.9578 4.4603 Dy
-1.9754 -1.7514 6.7495 Dy
3.5524 0.5556 7.3256 Dy
-0.5396 2.0359 12.1671 Dy
-4.0128 1.1529 7.1884 Nd
-3.0548 3.3442 9.9898 Nd
1.3589 2.8408 9.4390 Nd
0.4009 0.6495 6.6376 Nd
1.7064 5.0513 12.0240 Sc
-1.1193 3.5951 7.2749 Sc
-1.5345 0.3986 9.3525 Sc
-4.3602 -1.0577 4.6034 Sc
-1.9970 4.8976 12.8460 Sc
-0.6568 -0.9039 3.7814 Sc
```

## Properties
crystal system = monoclinic
E_tot = -5.1051 eV/atom

***

VASP calculation (GGA-PBE) on crystalline Nd5Dy4Sc4 at its relaxed geometry.

Cell and atoms, written as POSCAR:
```
Nd5Dy4Sc4
1.0
4.8033 0.0000 1.2212
2.4016 8.9538 0.6106
0.1953 0.0000 9.2883
Sc Nd Dy
4 5 4
Cartesian
2.7682 5.4607 9.2254 Sc
4.6320 3.4931 1.8948 Sc
6.3442 8.2588 5.2172 Sc
1.0560 0.6950 5.9030 Sc
4.4685 6.8241 2.5380 Nd
5.5234 7.5952 8.4455 Nd
1.8768 1.3586 2.6747 Nd
0.0000 0.0000 0.0000 Nd
2.9317 2.1297 8.5822 Nd
3.6135 6.2168 5.9008 Dy
1.7272 4.8285 3.2633 Dy
5.6730 4.1253 7.8569 Dy
3.7867 2.7371 5.2194 Dy
```

## Properties
crystal system = tetragonal
E_tot = -5.1480 eV/atom

***

VASP calculation (GGA-PBE) on crystalline Nd2Dy3Sc2 at its relaxed geometry.

Cell and atoms, written as POSCAR:
```
Nd2Dy3Sc2
1.0
-3.6371 -1.2380 -3.5527
2.4365 -0.0399 -2.4804
0.0740 -12.0404 0.2662
Dy Sc Nd
3 2 2
Cartesian
-3.0392 -4.8460 -2.9075 Dy
0.0000 0.0000 0.0000 Dy
-0.5239 -8.4325 -0.3790 Dy
0.2206 -5.5931 -2.1306 Sc
-1.3472 -7.7252 -3.6364 Sc
-0.3118 -2.3801 -2.7052 Nd
-0.8148 -10.9382 -3.0617 Nd
```

## Properties
crystal system = orthorhombic
E_tot = -5.1090 eV/atom

***

VASP calculation (GGA-PBE) on crystalline Nd2Dy5Sc4 at its relaxed geometry.

Cell and atoms, written as POSCAR:
```
Nd2Dy5Sc4
1.0
-5.1185 1.5301 3.8927
-4.3138 -4.9695 1.8934
2.0867 -0.8149 8.6764
Dy Sc Nd
5 4 2
Cartesian
-1.1136 -2.8922 5.2849 Dy
-4.4463 -3.9931 3.9432 Dy
-2.8993 -0.2611 10.5193 Dy
-7.1865 -3.1740 6.0271 Dy
-0.1592 -1.0803 8.4353 Dy
-2.7086 0.5457 7.4484 Sc
-4.8343 -2.9452 11.6378 Sc
-2.5113 -1.3091 2.8247 Sc
-4.6370 -4.8000 7.0141 Sc
-4.6599 -1.0633 5.5152 Nd
-2.6857 -3.1910 8.9473 Nd
```

## Properties
crystal system = monoclinic
E_tot = -5.0790 eV/atom

***

VASP calculation (GGA-PBE) on crystalline Nd7Dy2Sc2 at its relaxed geometry.

Cell and atoms, written as POSCAR:
```
Nd7Dy2Sc2
1.0
-1.1512 5.6916 1.9146
1.1297 -0.2791 7.8969
6.8254 3.9476 -1.2433
Dy Sc Nd
2 2 7
Cartesian
1.2088 3.1492 2.2095 Dy
5.5951 6.2109 6.3586 Dy
1.8254 3.5101 6.8141 Sc
4.9785 5.8500 1.7541 Sc
5.9798 8.2082 3.6875 Nd
2.9970 5.9947 8.4741 Nd
4.3569 3.2821 4.2327 Nd
0.8241 1.1519 4.8807 Nd
0.0000 0.0000 0.0000 Nd
2.4470 6.0780 4.3355 Nd
3.8069 3.3654 0.0941 Nd
```

## Properties
crystal system = monoclinic
E_tot = -4.8761 eV/atom

***

VASP calculation (GGA-PBE) on crystalline Nd3Dy3Sc at its relaxed geometry.

Cell and atoms, written as POSCAR:
```
Nd3Dy3Sc
1.0
7.8051 0.4579 3.9949
2.6390 7.3597 3.9949
0.6118 0.4579 8.7467
Dy Nd Sc
6 6 2
Cartesian
3.8266 3.7480 11.0383 Dy
2.7373 5.6604 8.1056 Dy
7.2294 4.5276 5.6983 Dy
5.0217 1.0311 8.8855 Dy
8.3187 2.6152 8.6310 Dy
6.0342 7.2445 7.8511 Dy
9.2347 5.6949 8.2366 Nd
1.8212 2.5807 8.5000 Nd
6.6452 1.0201 6.0850 Nd
4.4780 6.0884 5.0105 Nd
4.4107 7.2555 10.6516 Nd
6.5779 2.1872 11.7261 Nd
3.8035 2.8470 5.7578 Sc
7.2524 5.4286 10.9788 Sc
```

## Properties
crystal system = trigonal
E_tot = -4.6469 eV/atom

***

VASP calculation (GGA-PBE) on crystalline Nd2DySc2 at its relaxed geometry.

Cell and atoms, written as POSCAR:
```
Nd2DySc2
1.0
8.9352 -1.5371 0.1245
-3.3596 8.4210 0.1245
-2.3240 -2.8693 4.2729
Nd Sc Dy
4 4 2
Cartesian
-0.1785 -1.8150 4.3056 Nd
3.4301 5.8297 0.2162 Nd
-0.5763 0.8830 2.1692 Nd
3.8280 3.1316 2.3527 Nd
5.1654 0.3284 1.1927 Sc
0.6768 3.9639 1.1927 Sc
-1.9137 3.6863 3.3292 Sc
2.5748 0.0508 3.3292 Sc
5.2204 -2.0920 3.3292 Dy
-1.9688 6.1067 1.1927 Dy
```

## Properties
crystal system = monoclinic
E_tot = -5.1931 eV/atom

***

VASP calculation (GGA-PBE) on crystalline Nd3Dy2Sc2 at its relaxed geometry.

Cell and atoms, written as POSCAR:
```
Nd3Dy2Sc2
1.0
-2.9936 -1.6986 0.2029
2.9283 -5.7936 -5.2959
2.7429 -0.3419 8.3138
Dy Sc Nd
2 2 3
Cartesian
1.2467 -2.1169 0.6733 Dy
1.4309 -5.7171 2.5475 Dy
1.3273 -6.2744 -3.6484 Sc
1.3504 -1.5596 6.8692 Sc
1.4642 -2.8968 -2.6479 Nd
-0.1996 -2.6860 3.8646 Nd
2.8773 -5.1480 -0.6438 Nd
```

## Properties
crystal system = monoclinic
E_tot = -5.0380 eV/atom

***

VASP calculation (GGA-PBE) on crystalline Nd3Dy5Sc2 at its relaxed geometry.

Cell and atoms, written as POSCAR:
```
Nd3Dy5Sc2
1.0
8.2132 1.3276 -3.7281
0.0846 8.2742 -3.8111
-1.5097 -1.6297 10.7130
Nd Sc Dy
6 4 10
Cartesian
1.1257 3.4845 5.0091 Nd
-0.1417 6.0480 -0.3420 Nd
0.5497 6.8823 5.7636 Nd
6.9298 1.9241 3.5157 Nd
6.2384 1.0898 -2.5899 Nd
5.6624 4.4876 -1.8354 Nd
5.1607 -0.1024 4.9048 Sc
1.6274 8.0745 -1.7311 Sc
2.7775 5.3702 3.3115 Sc
4.0106 2.6019 -0.1378 Sc
2.2243 4.6237 -2.4989 Dy
1.9703 0.2582 5.8720 Dy
-0.5253 5.5904 2.9352 Dy
5.9222 4.9548 2.2244 Dy
4.5638 3.3484 5.6726 Dy
3.5370 2.1145 2.9712 Dy
4.8178 7.7139 -2.6983 Dy
3.2511 5.8576 0.2025 Dy
7.3134 2.3817 0.2385 Dy
0.8659 3.0174 0.9493 Dy
```

## Properties
crystal system = monoclinic
E_tot = -4.8086 eV/atom